# 1
Eu2TlO: relaxed, PBE-GGA.

```
Eu2TlO
1.0
-0.3405 3.6148 -0.7326
-3.0876 1.8029 0.9674
2.2019 3.6050 7.4003
Eu O Tl
2 1 1
Direct
0.7233 0.7233 0.8301
0.2767 0.2767 0.1699
0.0000 0.0000 0.0000
0.5000 0.5000 0.5000
```

Results
DFT total energy in eV per atom: -8.437
Space-group type: R-3m, No. 166
D(E_F) in states/eV/cell: 5.6
Energy above the most stable polymorph in this dataset in eV/atom: 0.000
Size of the total moment in μB per formula unit: 14.781
Formation energy without anion corrections in meV per atom: -1469

# 2
NpTaO5: relaxed, PBE-GGA.

```
NpTaO5
1.0
5.1414 -0.0691 1.9331
1.0781 5.0275 1.9331
-0.0424 -0.0338 7.6304
O Ta Np
10 2 2
Direct
0.2276 0.2792 0.8698
0.2881 0.6908 0.4657
0.7119 0.3092 0.5343
0.3092 0.7119 0.0343
0.6908 0.2881 0.9657
0.0747 0.9253 0.7500
0.7208 0.7724 0.6302
0.2792 0.2276 0.3698
0.7724 0.7208 0.1302
0.9253 0.0747 0.2500
0.0000 0.0000 0.0000
0.0000 0.0000 0.5000
0.5364 0.4636 0.2500
0.4636 0.5364 0.7500
```

Results
DFT total energy in eV per atom: -9.972
Space-group type: C2/c, No. 15
D(E_F) in states/eV/cell: 9.1
Size of the total moment in μB per formula unit: 2.000
Formation energy without anion corrections in meV per atom: -2889

# 3
La3Dy4Ag: relaxed, PBE-GGA.

```
La3Dy4Ag
1.0
3.6861 0.0000 0.0000
0.0000 3.6861 0.0000
0.0000 0.0000 18.6580
Dy La Ag
4 3 1
Direct
0.0000 0.0000 0.9059
0.0000 0.0000 0.0941
0.0000 0.0000 0.6353
0.0000 0.0000 0.3647
0.5000 0.5000 0.7714
0.5000 0.5000 0.2286
0.5000 0.5000 0.5000
0.5000 0.5000 0.0000
```

Results
DFT total energy in eV per atom: -4.554
Space-group type: P4/mmm, No. 123
ΔH_f (0 K) in eV/atom: -0.049
D(E_F) in states/eV/cell: 12.5
Size of the total moment in μB per formula unit: 0.000

# 4
NaLaHf3: relaxed, PBE-GGA.

```
NaLaHf3
1.0
-1.9935 2.3804 4.0905
1.2811 -4.0014 2.9529
4.5560 2.1667 0.9595
Hf La Na
3 1 1
Direct
0.0000 0.5000 0.0000
0.5000 0.0000 0.0000
0.0000 0.0000 0.5000
0.5000 0.5000 0.5000
0.0000 0.0000 0.0000
```

Results
DFT total energy in eV per atom: -5.913
Space-group type: Pm-3m, No. 221
ΔH_f (0 K) in eV/atom: 1.308
D(E_F) in states/eV/cell: 10.4
Energy above the most stable polymorph in this dataset in eV/atom: 0.000
Size of the total moment in μB per formula unit: 0.000

# 5
Ga2AsPbSe6: relaxed, PBE-GGA.

```
Ga2AsPbSe6
1.0
7.5330 -0.1801 -0.1869
2.1868 8.3761 0.5264
2.1868 0.2156 8.3899
Ga Se As Pb
4 12 2 2
Direct
0.2059 0.3802 0.2309
0.7059 0.2309 0.3802
0.2941 0.7691 0.6198
0.7941 0.6198 0.7691
0.6493 0.8204 0.9705
0.4174 0.9434 0.3897
0.9174 0.3897 0.9434
0.8507 0.0295 0.1796
0.3507 0.1796 0.0295
0.0308 0.6985 0.5501
0.4692 0.4499 0.3015
0.1493 0.9705 0.8204
0.5308 0.5501 0.6985
0.5826 0.0566 0.6103
0.9692 0.3015 0.4499
0.0826 0.6103 0.0566
0.2500 0.2299 0.7701
0.7500 0.7701 0.2299
0.2500 0.8449 0.1551
0.7500 0.1551 0.8449
```

Results
DFT total energy in eV per atom: -3.855
Space-group type: C2/c, No. 15
D(E_F) in states/eV/cell: 3.4
Size of the total moment in μB per formula unit: 0.000
Formation energy without anion corrections in meV per atom: -323

# 6
Ac3LaCe2N6: relaxed, PBE-GGA.

```
Ac3LaCe2N6
1.0
6.4805 0.0024 0.0015
-3.2366 5.6144 0.0015
-1.0807 -1.8712 6.1692
Ac Ce La N
3 2 1 6
Direct
0.1663 0.8337 0.5000
0.8337 0.1663 0.5000
0.5000 0.5000 0.5000
0.6661 0.3339 0.0000
0.3339 0.6661 0.0000
0.0000 0.0000 0.0000
0.0748 0.4256 0.2246
0.4256 0.0748 0.2246
0.7194 0.7194 0.2155
0.2806 0.2806 0.7845
0.9252 0.5744 0.7754
0.5744 0.9252 0.7754
```

Results
DFT total energy in eV per atom: -7.833
Space-group type: C2/m, No. 12
D(E_F) in states/eV/cell: 5.1
Size of the total moment in μB per formula unit: 0.000
Formation energy without anion corrections in meV per atom: -1244

# 7
Ce2Ho6Er: relaxed, PBE-GGA.

```
Ce2Ho6Er
1.0
-3.5274 -1.3525 -3.2348
0.2324 -7.8277 -0.8040
-6.6204 -1.3951 3.9791
Ho Ce Er
6 2 1
Direct
0.6684 0.8303 0.8329
0.3316 0.1697 0.1671
0.0014 0.8303 0.1670
0.6655 0.1690 0.4999
0.3345 0.8310 0.5001
0.9986 0.1697 0.8330
0.3306 0.5000 0.8388
0.6694 0.5000 0.1612
0.0000 0.5000 0.5000
```

Results
DFT total energy in eV per atom: -4.820
Space-group type: Fmmm, No. 69
ΔH_f (0 K) in eV/atom: 0.057
D(E_F) in states/eV/cell: 17.0
Size of the total moment in μB per formula unit: 1.573

# 8
HoTh3O8: relaxed, PBE-GGA.

```
HoTh3O8
1.0
-1.8787 0.8051 -5.1790
2.7255 -4.5492 -1.6958
-4.4768 -3.1074 1.1409
O Ho Th
8 1 3
Direct
0.2488 0.2488 0.7512
0.7512 0.2488 0.2488
0.2488 0.7512 0.2488
0.7512 0.2488 0.7512
0.2488 0.2488 0.2488
0.7512 0.7512 0.2488
0.2488 0.7512 0.7512
0.7512 0.7512 0.7512
0.0000 0.0000 0.0000
0.0000 0.5000 0.5000
0.5000 0.5000 0.0000
0.5000 0.0000 0.5000
```

Results
DFT total energy in eV per atom: -9.144
Space-group type: Pm-3m, No. 221
D(E_F) in states/eV/cell: 13.6
Size of the total moment in μB per formula unit: 0.009
Formation energy without anion corrections in meV per atom: -3602

# 9
Pm2ZnCu2Ni5: relaxed, PBE-GGA.

```
Pm2ZnCu2Ni5
1.0
-3.1692 -0.9670 -1.6927
-2.8732 -3.9245 7.6215
-3.7661 7.7988 2.5960
Zn Pm Cu Ni
2 4 4 10
Direct
0.0000 0.0000 0.0000
0.0000 0.5000 0.5000
0.0000 0.8177 0.6823
0.0000 0.6823 0.1823
0.0000 0.1823 0.3177
0.0000 0.3177 0.8177
0.0000 0.3847 0.1153
0.0000 0.8847 0.3847
0.0000 0.6153 0.8847
0.0000 0.1153 0.6153
0.5000 0.0570 0.7956
0.5000 0.7956 0.9430
0.5000 0.2044 0.0570
0.5000 0.9430 0.2044
0.5000 0.7044 0.4430
0.5000 0.0000 0.5000
0.5000 0.5570 0.7044
0.5000 0.2956 0.5570
0.5000 0.5000 0.0000
0.5000 0.4430 0.2956
```

Results
DFT total energy in eV per atom: -4.964
Space-group type: P4/mbm, No. 127
ΔH_f (0 K) in eV/atom: -0.177
D(E_F) in states/eV/cell: 8.5
Size of the total moment in μB per formula unit: 0.000

# 10
Cd12RhAu6: relaxed, PBE-GGA.

```
Cd12RhAu6
1.0
-5.8594 -0.0217 -4.3080
3.8165 -3.2539 -5.2667
-1.9269 -6.5281 2.5617
Cd Au Rh
12 6 1
Direct
0.4656 0.5586 0.1998
0.9758 0.8560 0.6394
0.8002 0.5344 0.4414
0.1440 0.3607 0.0242
0.3607 0.0242 0.1440
0.5344 0.4414 0.8002
0.8560 0.6394 0.9758
0.6394 0.9758 0.8560
0.5586 0.1998 0.4656
0.4414 0.8002 0.5344
0.0242 0.1440 0.3607
0.1998 0.4656 0.5586
0.2808 0.1149 0.7300
0.2700 0.7192 0.8851
0.7192 0.8851 0.2700
0.8851 0.2700 0.7192
0.7300 0.2808 0.1149
0.1149 0.7300 0.2808
0.0000 0.0000 0.0000
```

Results
DFT total energy in eV per atom: -2.130
Space-group type: R-3, No. 148
ΔH_f (0 K) in eV/atom: -0.130
D(E_F) in states/eV/cell: 6.6
Size of the total moment in μB per formula unit: 0.000

# 11
LiAlAs2Se: relaxed, PBE-GGA.

```
LiAlAs2Se
1.0
-1.3978 4.2107 -1.9469
-2.5920 0.9774 3.9749
4.0791 2.3201 2.0894
Li As Se Al
1 2 1 1
Direct
0.5000 0.5000 0.5000
0.0000 0.5000 0.0000
0.5000 0.0000 0.0000
0.0000 0.0000 0.5000
0.0000 0.0000 0.0000
```

Results
DFT total energy in eV per atom: -3.557
Space-group type: P4/mmm, No. 123
D(E_F) in states/eV/cell: 3.8
Energy above the most stable polymorph in this dataset in eV/atom: 0.000
Size of the total moment in μB per formula unit: 0.000
Formation energy without anion corrections in meV per atom: 131

# 12
TaMnTl3: relaxed, PBE-GGA.

```
TaMnTl3
1.0
-1.8751 3.6747 -2.8496
-4.6152 -1.0948 1.6250
0.5687 3.2307 3.7919
Ta Tl Mn
1 3 1
Direct
0.5000 0.5000 0.5000
0.0000 0.0000 0.5000
0.0000 0.5000 0.0000
0.5000 0.0000 0.0000
0.0000 0.0000 0.0000
```

Results
DFT total energy in eV per atom: -4.129
Space-group type: Pm-3m, No. 221
ΔH_f (0 K) in eV/atom: 1.495
D(E_F) in states/eV/cell: 14.2
Energy above the most stable polymorph in this dataset in eV/atom: 0.373
Size of the total moment in μB per formula unit: 0.000

What did the twelfth record say?
TaMnTl3: relaxed, PBE-GGA.

```
TaMnTl3
1.0
-1.8751 3.6747 -2.8496
-4.6152 -1.0948 1.6250
0.5687 3.2307 3.7919
Ta Tl Mn
1 3 1
Direct
0.5000 0.5000 0.5000
0.0000 0.0000 0.5000
0.0000 0.5000 0.0000
0.5000 0.0000 0.0000
0.0000 0.0000 0.0000
```

Results
DFT total energy in eV per atom: -4.129
Space-group type: Pm-3m, No. 221
ΔH_f (0 K) in eV/atom: 1.495
D(E_F) in states/eV/cell: 14.2
Energy above the most stable polymorph in this dataset in eV/atom: 0.373
Size of the total moment in μB per formula unit: 0.000

Question: Which formula does entry 2 have?
Answer: NpTaO5